[1]
PmPr5Ho2: optimized geometry, PBE.

a = 5.172 Å, b = 7.308 Å, c = 14.618 Å
α = 90.00°, β = 90.00°, γ = 90.00°
Fractional coordinates of all 16 atoms:
Pr  0.500  0.251  0.875
Pr  0.000  0.000  0.750
Pr  0.500  0.751  0.625
Pr  0.000  0.500  0.750
Pr  0.000  0.000  0.250
Pr  0.000  0.000  0.000
Pr  0.000  0.500  0.250
Pr  0.500  0.249  0.375
Pr  0.000  0.500  0.500
Pr  0.500  0.749  0.125
Ho  0.500  0.250  0.624
Ho  0.500  0.750  0.376
Ho  0.500  0.250  0.124
Ho  0.500  0.750  0.876
Pm  0.000  0.000  0.500
Pm  0.000  0.500  0.000

Results
- Energy of formation: 0.012 eV per atom
- Polymorph energy (0 for the lowest one): 0.00 eV/f.u.
- Crystal system: orthorhombic
- Mass density: 7.1 g cm⁻³
- Total DFT energy (no corrections): -37.7 eV/f.u.

[2]
RbPuCrN4: optimized geometry, PBE.

a = 5.720 Å, b = 5.644 Å, c = 7.938 Å
α = 90.00°, β = 107.95°, γ = 90.00°
Fractional coordinates of all 14 atoms:
N  0.034  0.511  0.334
N  0.443  0.750  0.225
N  0.966  0.011  0.666
N  0.551  0.250  0.449
N  0.966  0.489  0.666
N  0.034  0.989  0.334
N  0.557  0.250  0.775
N  0.449  0.750  0.551
Pu  0.224  0.250  0.546
Pu  0.776  0.750  0.454
Rb  0.297  0.250  0.068
Rb  0.703  0.750  0.932
Cr  0.234  0.750  0.346
Cr  0.766  0.250  0.654

Results
- Uncorrected formation energy: -488 meV per atom
- Crystal system: monoclinic
- Mass density: 6.0 g cm⁻³
- Total DFT energy (no corrections): -61.6 eV/f.u.

[3]
GdEr2Au: optimized geometry, PBE.

a = 3.563 Å, b = 3.563 Å, c = 8.682 Å
α = 90.00°, β = 90.00°, γ = 90.00°
Fractional coordinates of all 4 atoms:
Er  0.000  0.000  0.202
Er  0.000  0.000  0.798
Gd  0.500  0.500  0.500
Au  0.500  0.500  0.000

Results
- Energy of formation: -0.407 eV per atom
- Polymorph energy (0 for the lowest one): 0.00 eV/f.u.
- Crystal system: tetragonal
- Mass density: 10.4 g cm⁻³
- Total DFT energy (no corrections): -28.1 eV/f.u.

[4]
RbAsPdPt: optimized geometry, PBE.

a = 3.897 Å, b = 3.897 Å, c = 13.419 Å
α = 90.00°, β = 90.00°, γ = 90.00°
Fractional coordinates of all 8 atoms:
As  0.750  0.750  0.878
As  0.250  0.250  0.122
Pd  0.750  0.250  0.500
Pd  0.250  0.750  0.500
Rb  0.250  0.250  0.710
Rb  0.750  0.750  0.290
Pt  0.250  0.750  0.000
Pt  0.750  0.250  0.000

Results
- Energy of formation: -0.112 eV per atom
- Crystal system: tetragonal
- Mass density: 7.5 g cm⁻³
- Total DFT energy (no corrections): -17.3 eV/f.u.

[5]
KRh: optimized geometry, PBE.

a = 6.822 Å, b = 6.822 Å, c = 6.822 Å
α = 90.00°, β = 90.00°, γ = 90.00°
Fractional coordinates of all 8 atoms:
Rh  0.000  0.000  0.000
Rh  0.500  0.000  0.500
Rh  0.000  0.500  0.500
Rh  0.500  0.500  0.000
K  0.750  0.750  0.250
K  0.750  0.250  0.750
K  0.250  0.750  0.750
K  0.250  0.250  0.250

Results
- Energy of formation: 1.875 eV per atom
- Polymorph energy (0 for the lowest one): 3.01 eV/f.u.
- Crystal system: cubic
- Mass density: 3.0 g cm⁻³
- Total DFT energy (no corrections): -4.7 eV/f.u.

[6]
SrTeN2O: optimized geometry, PBE.

a = 4.328 Å, b = 4.328 Å, c = 7.029 Å
α = 90.00°, β = 90.00°, γ = 90.00°
Fractional coordinates of all 5 atoms:
N  0.500  0.000  0.000
N  0.000  0.500  0.000
Te  0.000  0.000  0.500
O  0.500  0.500  0.500
Sr  0.000  0.000  0.000

Results
- Uncorrected formation energy: 2088 meV per atom
- Crystal system: tetragonal
- Mass density: 3.3 g cm⁻³
- Total DFT energy (no corrections): -16.0 eV/f.u.

[7]
NaZnHg2: optimized geometry, PBE.

a = 8.112 Å, b = 8.112 Å, c = 6.516 Å
α = 51.50°, β = 51.50°, γ = 90.00°
Fractional coordinates of all 8 atoms:
Na  0.250  0.750  0.500
Na  0.500  0.500  0.000
Hg  0.666  0.125  0.250
Hg  0.875  0.916  0.750
Hg  0.375  0.334  0.750
Hg  0.084  0.625  0.250
Zn  0.000  0.000  0.000
Zn  0.750  0.250  0.500

Results
- Energy of formation: -0.030 eV per atom
- Crystal system: tetragonal
- Mass density: 8.0 g cm⁻³
- Total DFT energy (no corrections): -3.3 eV/f.u.

[8]
RbCo2W: optimized geometry, PBE.

a = 4.553 Å, b = 4.553 Å, c = 4.553 Å
α = 60.00°, β = 60.00°, γ = 60.00°
Fractional coordinates of all 4 atoms:
Co  0.250  0.250  0.250
Co  0.750  0.750  0.750
W  0.500  0.500  0.500
Rb  0.000  0.000  0.000

Results
- Energy of formation: 1.784 eV per atom
- Polymorph energy (0 for the lowest one): 1.18 eV/f.u.
- Crystal system: cubic
- Mass density: 9.6 g cm⁻³
- Total DFT energy (no corrections): -21.0 eV/f.u.